Arrangement P

Density functional theory data (GGA-PBE) for an optimized crystal structure of HfNbNi3.

Output
Fermi-level density of states = 0.79 states/eV per atom

Unit cell a=4.4642 b=4.4642 c=4.4642 alpha=90.00 beta=90.00 gamma=90.00
Closest atoms and distances in Å follow each position.
Space group Pm-3m (No. 221)
One atom of each set of equivalent atoms:
Hf (0.0000, 0.0000, 0.0000) x1  6 Ni 2.23
Nb (0.5000, 0.5000, 0.5000) x1  12 Ni 3.16
Ni (0.0000, 0.0000, 0.5000) x3  2 Hf 2.23



Arrangement Q

Density functional theory data (GGA-PBE) for an optimized crystal structure of HfNbNi3.

Output
Fermi-level density of states = 1.03 states/eV per atom

Unit cell a=4.4704 b=4.4704 c=4.4704 alpha=90.00 beta=90.00 gamma=90.00
Closest atoms and distances in Å follow each position.
Space group Pm-3m (No. 221)
One atom of each set of equivalent atoms:
Hf (0.0000, 0.0000, 0.0000) x1  12 Ni 3.16
Nb (0.5000, 0.5000, 0.5000) x1  6 Ni 2.24
Ni (0.0000, 0.5000, 0.5000) x3  2 Nb 2.24



Most stable structure among those shown: arrangement Q. Next: +23.9 kJ/mol of atoms.